(1)
Entry from the Alexandria database: Sc5TiPd6 after structural relaxation (PBE).

VASP energy in eV for the cell shown: -80.51
DFT formation energy in eV/atom: -0.82
Magnetization in μB/atom: 0.00
DOS(E_F) in states/eV/atom: 0.821

CIF file:
```
data_Sc5TiPd6
_chemical_formula_sum 'Sc5 Ti1 Pd6'
_cell_length_a 4.650
_cell_length_b 8.064
_cell_length_c 8.064
_cell_angle_alpha 120.02
_cell_angle_beta 106.75
_cell_angle_gamma 106.75
_space_group_name_H-M_alt 'P 1'
_space_group_IT_number 1
loop_
_space_group_symop_operation_xyz
'x,y,z'
loop_
_atom_site_label
_atom_site_type_symbol
_atom_site_fract_x
_atom_site_fract_y
_atom_site_fract_z
Sc1 Sc 0.500 0.169 0.831
Sc2 Sc 0.000 0.334 0.666
Sc3 Sc 0.500 0.500 0.500
Sc4 Sc 0.000 0.666 0.334
Sc5 Sc 0.500 0.831 0.169
Pd1 Pd 0.242 0.082 0.401
Pd2 Pd 0.758 0.599 0.918
Pd3 Pd 0.734 0.234 0.234
Pd4 Pd 0.266 0.766 0.766
Pd5 Pd 0.242 0.401 0.082
Pd6 Pd 0.758 0.918 0.599
Ti1 Ti 0.000 0.000 0.000
```

***

(2)
Entry from the Alexandria database: Sc3Sb after structural relaxation (PBE).

VASP energy in eV for the cell shown: -50.29
Energy relative to the elements, uncorrected in eV per atom: -0.507
Magnetization in μB/atom: 0.00
Offset from the most stable computed form in meV per atom: 42
DOS(E_F) in states/eV/atom: 1.232

CIF file:
```
data_Sc3Sb
_chemical_formula_sum 'Sc6 Sb2'
_cell_length_a 5.063
_cell_length_b 5.816
_cell_length_c 6.127
_cell_angle_alpha 90.00
_cell_angle_beta 90.00
_cell_angle_gamma 90.00
_space_group_name_H-M_alt 'P 1'
_space_group_IT_number 1
loop_
_space_group_symop_operation_xyz
'x,y,z'
loop_
_atom_site_label
_atom_site_type_symbol
_atom_site_fract_x
_atom_site_fract_y
_atom_site_fract_z
Sb1 Sb 0.000 0.340 0.000
Sb2 Sb 0.500 0.660 0.500
Sc1 Sc 0.500 0.639 0.000
Sc2 Sc 0.000 0.361 0.500
Sc3 Sc 0.000 0.856 0.255
Sc4 Sc 0.000 0.856 0.745
Sc5 Sc 0.500 0.144 0.755
Sc6 Sc 0.500 0.144 0.245
```